Below is an optimized crystal structure of SiBr, with properties calculated at the PBE level.

The structure in POSCAR format:
```
SiBr
1.0
-2.795 0.998 -5.108
1.703 -5.304 -1.968
-4.919 -2.403 2.221
Si Br
4 4
Direct
0.500 0.500 0.000
0.500 0.000 0.500
0.000 0.500 0.500
0.000 0.000 0.000
0.500 0.000 0.000
0.500 0.500 0.500
0.000 0.500 0.000
0.000 0.000 0.500
```

Summary:
Density of states at the Fermi level (states/eV per atom): 0.822
Excess energy over the best structure of this formula in the dataset (eV/f.u.): 2.26
Symmetry: Fm-3m (225)
Volume (Å³/cell): 206.20
Mass density (g/cm³): 3.5